Here is VW3 at its PBEsol-relaxed geometry from Alexandria. Energies are from meta-GGA SCAN.

Cell lengths 6.2145, 6.2145, 6.2145 Å; angles 90.00, 90.00, 90.00 degrees
Closest atoms and distances in Å follow each position.
Space group Fm-3m (No. 225)
One atom of each set of equivalent atoms:
V: 0.0000 0.0000 0.0000 [4 per cell]  8 W 2.69
W: 0.0000 0.0000 0.5000 [4 per cell]  8 W 2.69
W: 0.2500 0.2500 0.2500 [8 per cell]  4 W 2.69, 4 V 2.69

- formation energy (eV per atom) = -0.1106

***

Here is TlSbTeN2 at its PBEsol-relaxed geometry from Alexandria. Energies are from meta-GGA SCAN.

Cell lengths 4.3738, 4.3738, 5.9801 Å; angles 90.00, 90.00, 90.00 degrees
Closest atoms and distances in Å follow each position.
Space group P4/mmm (No. 123)
One atom of each set of equivalent atoms:
Tl: 0.0000 0.0000 0.0000 [1 per cell]  4 N 2.19
Sb: 0.5000 0.5000 0.5000 [1 per cell]  4 Te 3.09
Te: 0.0000 0.0000 0.5000 [1 per cell]  2 Tl 2.99, 4 Sb 3.09
N: 0.0000 0.5000 0.0000 [2 per cell]  2 Tl 2.19

- ΔE_f (raw) (eV per formula unit) = 8.6

***

Here is Li2InFeP4O14 at its PBEsol-relaxed geometry from Alexandria. Energies are from meta-GGA SCAN.

Cell lengths 4.7999, 6.9544, 8.1424 Å; angles 90.99, 90.19, 108.88 degrees
Closest atoms and distances in Å follow each position.
Space group P1 (No. 1)
One atom of each set of equivalent atoms:
Li: 0.0000 0.0000 0.0000 [1 per cell]  4 O 1.96-2.07
Li: 0.3599 0.3519 0.5154 [1 per cell]  4 O 1.94-2.02
In: 0.4000 0.4258 0.1442 [1 per cell]  6 O 2.10-2.19
Fe: 0.9672 0.9628 0.6429 [1 per cell]  6 O 1.87-1.93
P: 0.3816 0.7744 0.4464 [1 per cell]  4 O 1.53-1.62
P: 0.5798 0.1982 0.8184 [1 per cell]  4 O 1.53-1.61
P: 0.7777 0.1533 0.3300 [1 per cell]  4 O 1.53-1.60
P: 0.9666 0.6063 0.9088 [1 per cell]  4 O 1.52-1.62
O: 0.0489 0.8047 0.8167 [1 per cell]  1 P 1.52
O: 0.0995 0.8246 0.4780 [1 per cell]  1 P 1.53
O: 0.2308 0.5383 0.9426 [1 per cell]  1 P 1.52
O: 0.3032 0.5635 0.3641 [1 per cell]  1 P 1.53
O: 0.3623 0.1479 0.6738 [1 per cell]  1 P 1.53
O: 0.4314 0.1773 0.9857 [1 per cell]  1 P 1.53
O: 0.5624 0.9241 0.3051 [1 per cell]  2 P 1.60-1.62
O: 0.5783 0.7902 0.5969 [1 per cell]  1 P 1.53
O: 0.5925 0.2949 0.3351 [1 per cell]  1 P 1.53
O: 0.7472 0.4366 0.7882 [1 per cell]  2 P 1.61-1.62
O: 0.8077 0.6294 0.0677 [1 per cell]  1 P 1.54
O: 0.8105 0.0890 0.8163 [1 per cell]  1 P 1.53
O: 0.9406 0.1671 0.4945 [1 per cell]  1 P 1.53
O: 0.9808 0.1854 0.1819 [1 per cell]  1 P 1.53

- ΔE_f (raw) (eV per formula unit) = -51.6

***

Asked for M_tot across the records above, the calculation gives 0.0, 3.0, 1.0 μB/cell in order.